GeTePb3 PBE-GGA optimized geometry; magnetic moment = 0.00 μB/f.u.; formation energy from raw total energies = 318 meV per atom; ρ = 7.674 g/cm³; space group = Pm-3m
1.0
5.624 0.000 0.000
0.000 5.624 0.000
0.000 0.000 5.624
Ge Te Pb
1 1 3
Cartesian
0.000 0.000 0.000
2.812 2.812 2.812
2.812 0.000 0.000
0.000 2.812 0.000
0.000 0.000 2.812

Ca2Ag2Au PBE-GGA optimized geometry; magnetic moment = 0.00 μB/f.u.; ρ = 6.573 g/cm³; ΔE_f = -0.45 eV/atom; space group = C2/m
1.0
4.233 0.000 0.000
2.117 5.377 -0.565
2.117 -0.057 10.946
Au Ca Ag
2 4 4
Cartesian
4.233 4.863 2.925
4.233 0.457 7.456
4.233 1.771 3.469
6.350 1.333 9.527
4.233 3.549 6.911
2.117 3.987 0.853
6.350 4.382 9.315
6.350 3.990 4.574
2.117 1.330 5.806
2.117 0.938 1.066

Table of energy above the lowest structure with this stoichiometry (meV per atom), in record order: 0, 0